i | Density functional theory data (GGA-PBE) for crystalline LuTlNO at its relaxed geometry.

Properties
- SG = P4/nmm

a = 4.922 Å, b = 4.922 Å, c = 4.780 Å
α = 90.00°, β = 90.00°, γ = 90.00°
Positions (direct):
1 Lu 0.250 0.750 0.500
2 N 0.750 0.750 0.493
3 Lu 0.750 0.250 0.500
4 N 0.250 0.250 0.507
5 O 0.750 0.250 0.000
6 Tl 0.250 0.250 0.007
7 O 0.250 0.750 0.000
8 Tl 0.750 0.750 0.993

=====

ii | Density functional theory data (GGA-PBE) for crystalline LuTlNO at its relaxed geometry.

Properties
- SG = Pmc2_1

a = 3.755 Å, b = 5.996 Å, c = 6.528 Å
α = 90.00°, β = 90.00°, γ = 90.00°
Positions (direct):
1 O 0.500 0.408 0.203
2 Tl 0.500 0.487 0.821
3 O 0.500 0.908 0.797
4 Tl 0.500 0.987 0.179
5 N 0.000 0.861 0.359
6 N 0.000 0.361 0.641
7 Lu 0.000 0.498 0.332
8 Lu 0.000 0.998 0.668

=====

Energies in meV per atom, measured from the most stable structure: i 63; ii 0.

=====

i | Density functional theory data (GGA-PBE) for crystalline Ni15Hg at its relaxed geometry.

Properties
- SG = Pm

a = 5.031 Å, b = 2.563 Å, c = 39.294 Å
α = 90.00°, β = 90.00°, γ = 90.00°
Site moments in Bohr magnetons follow the coordinates.
Positions (direct):
1 Ni 0.376 0.000 0.691  -0.71
2 Ni 0.125 0.500 0.735  0.01
3 Hg 0.125 0.500 0.838  -0.01
4 Ni 0.625 0.500 0.648  -0.26
5 Ni 0.625 0.500 0.564  0.71
6 Ni 0.125 0.500 0.308  0.02
7 Ni 0.875 0.000 0.521  0.71
8 Ni 0.125 0.500 0.649  -0.33
9 Ni 0.375 0.000 0.266  0.39
10 Ni 0.878 0.000 0.777  0.28
11 Ni 0.625 0.500 0.818  0.35
12 Ni 0.625 0.500 0.479  0.66
13 Ni 0.874 0.000 0.691  -0.71
14 Ni 0.625 0.500 0.394  0.68
15 Ni 0.375 0.000 0.606  0.50
16 Ni 0.875 0.000 0.351  0.59
17 Ni 0.875 0.000 0.436  0.68
18 Ni 0.628 0.500 0.223  0.52
19 Ni 0.875 0.000 0.265  0.26
20 Ni 0.125 0.500 0.479  0.66
21 Ni 0.125 0.500 0.394  0.67
22 Ni 0.372 0.000 0.777  0.28
23 Ni 0.625 0.500 0.308  -0.10
24 Ni 0.122 0.500 0.223  0.52
25 Ni 0.375 0.000 0.182  0.71
26 Ni 0.625 0.500 0.735  -0.37
27 Hg 0.875 0.000 0.162  -0.01
28 Ni 0.125 0.500 0.564  0.72
29 Ni 0.375 0.000 0.521  0.71
30 Ni 0.375 0.000 0.351  0.55
31 Ni 0.375 0.000 0.436  0.64
32 Ni 0.875 0.000 0.606  0.47

=====

ii | Density functional theory data (GGA-PBE) for crystalline Ni15Hg at its relaxed geometry.

Properties
- SG = Pm

a = 4.983 Å, b = 3.446 Å, c = 33.525 Å
α = 90.00°, β = 90.01°, γ = 90.00°
Site moments in Bohr magnetons follow the coordinates.
Positions (direct):
1 Ni 0.625 0.000 0.592  0.63
2 Hg 0.125 0.000 0.206  0.02
3 Ni 0.875 0.500 0.555  0.65
4 Ni 0.125 0.000 0.371  0.55
5 Ni 0.625 0.000 0.371  0.53
6 Ni 0.375 0.500 0.334  0.08
7 Ni 0.127 0.000 0.741  0.53
8 Ni 0.875 0.500 0.408  0.65
9 Ni 0.375 0.500 0.555  0.64
10 Ni 0.623 0.000 0.741  0.52
11 Ni 0.375 0.500 0.408  0.65
12 Ni 0.125 0.000 0.518  0.63
13 Ni 0.124 0.000 0.667  0.62
14 Ni 0.625 0.000 0.445  0.65
15 Ni 0.875 0.500 0.629  0.64
16 Ni 0.875 0.500 0.482  0.64
17 Ni 0.375 0.500 0.776  0.51
18 Ni 0.875 0.500 0.704  0.60
19 Ni 0.375 0.500 0.629  0.66
20 Ni 0.875 0.500 0.334  0.10
21 Hg 0.875 0.500 0.794  -0.02
22 Ni 0.125 0.000 0.445  0.65
23 Ni 0.625 0.000 0.224  -0.52
24 Ni 0.626 0.000 0.667  0.62
25 Ni 0.873 0.500 0.260  -0.54
26 Ni 0.125 0.000 0.296  -0.49
27 Ni 0.375 0.500 0.703  0.62
28 Ni 0.625 0.000 0.297  -0.48
29 Ni 0.377 0.500 0.260  -0.54
30 Ni 0.625 0.000 0.518  0.64
31 Ni 0.375 0.500 0.482  0.63
32 Ni 0.125 0.000 0.592  0.63

=====

Energies in meV per atom, measured from the most stable structure: i 5; ii 0.

=====

i | Density functional theory data (GGA-PBE) for crystalline Cu7Ag3 at its relaxed geometry.

Properties
- SG = Cm

a = 8.956 Å, b = 8.956 Å, c = 5.649 Å
α = 99.10°, β = 99.10°, γ = 17.83°
Positions (direct):
1 Cu 0.206 0.206 0.581
2 Cu 0.805 0.805 0.402
3 Ag 0.594 0.594 0.294
4 Cu 0.987 0.987 0.987
5 Cu 0.993 0.993 0.505
6 Ag 0.804 0.804 0.903
7 Cu 0.206 0.206 0.125
8 Cu 0.401 0.401 0.683
9 Ag 0.602 0.602 0.803
10 Cu 0.403 0.403 0.218

=====

ii | Density functional theory data (GGA-PBE) for crystalline Cu7Ag3 at its relaxed geometry.

Properties
- SG = P1

a = 4.700 Å, b = 5.459 Å, c = 5.813 Å
α = 103.44°, β = 95.29°, γ = 106.98°
Positions (direct):
1 Cu 0.382 0.787 0.798
2 Ag 0.599 0.195 0.181
3 Ag 0.800 0.603 0.608
4 Ag 0.797 0.101 0.612
5 Cu 0.024 0.516 0.017
6 Cu 0.209 0.407 0.396
7 Cu 0.599 0.695 0.183
8 Cu 0.202 0.896 0.396
9 Cu 0.379 0.302 0.796
10 Cu 0.009 0.997 0.014

=====

iii | Density functional theory data (GGA-PBE) for crystalline Cu7Ag3 at its relaxed geometry.

Properties
- SG = P4/mmm

a = 2.784 Å, b = 2.784 Å, c = 17.675 Å
α = 90.00°, β = 90.00°, γ = 90.00°
Positions (direct):
1 Cu 0.500 0.500 0.676
2 Ag 0.000 0.000 0.785
3 Cu 0.500 0.500 0.324
4 Cu 0.500 0.500 0.108
5 Cu 0.500 0.500 0.892
6 Ag 0.000 0.000 0.215
7 Ag 0.000 0.000 0.000
8 Cu 0.000 0.000 0.587
9 Cu 0.500 0.500 0.500
10 Cu 0.000 0.000 0.413

=====

Energies in meV per atom, measured from the most stable structure: i 7; ii 16; iii 0.

=====

i | Density functional theory data (GGA-PBE) for crystalline Cu7Ag3 at its relaxed geometry.

Properties
- SG = Cm

a = 7.155 Å, b = 7.155 Å, c = 5.477 Å
α = 101.11°, β = 101.11°, γ = 29.88°
Positions (direct):
1 Cu 0.599 0.599 0.313
2 Cu 0.406 0.406 0.709
3 Cu 0.999 0.999 0.981
4 Ag 0.192 0.192 0.089
5 Cu 0.007 0.007 0.511
6 Cu 0.195 0.195 0.606
7 Cu 0.595 0.595 0.785
8 Ag 0.407 0.407 0.196
9 Cu 0.799 0.799 0.891
10 Ag 0.801 0.801 0.419

=====

ii | Density functional theory data (GGA-PBE) for crystalline Cu7Ag3 at its relaxed geometry.

Properties
- SG = C2/m

a = 7.253 Å, b = 7.253 Å, c = 7.152 Å
α = 103.98°, β = 103.98°, γ = 22.01°
Positions (direct):
1 Cu 0.594 0.594 0.319
2 Cu 0.000 0.000 0.500
3 Ag 0.200 0.200 0.118
4 Ag 0.800 0.800 0.882
5 Cu 0.804 0.804 0.420
6 Ag 0.000 0.000 0.000
7 Cu 0.406 0.406 0.681
8 Cu 0.600 0.600 0.775
9 Cu 0.400 0.400 0.225
10 Cu 0.196 0.196 0.580

=====

Energies in meV per atom, measured from the most stable structure: i 8; ii 0.

=====

i | Density functional theory data (GGA-PBE) for crystalline PmAgSO at its relaxed geometry.

Properties
- SG = P4bm

a = 5.617 Å, b = 5.617 Å, c = 9.196 Å
α = 90.00°, β = 90.00°, γ = 90.00°
Positions (direct):
1 Pm 0.000 0.500 0.129
2 S 0.000 0.500 0.711
3 Ag 0.812 0.688 0.491
4 S 0.000 0.000 0.304
5 Ag 0.188 0.312 0.491
6 Pm 0.500 0.000 0.129
7 O 0.749 0.249 0.002
8 Pm 0.000 0.000 0.870
9 S 0.500 0.000 0.711
10 O 0.249 0.251 0.002
11 Pm 0.500 0.500 0.870
12 O 0.751 0.749 0.002
13 O 0.251 0.751 0.002
14 S 0.500 0.500 0.304
15 Ag 0.312 0.812 0.491
16 Ag 0.688 0.188 0.491

=====

ii | Density functional theory data (GGA-PBE) for crystalline PmAgSO at its relaxed geometry.

Properties
- SG = Pbcm

a = 9.005 Å, b = 5.646 Å, c = 5.647 Å
α = 90.00°, β = 90.00°, γ = 90.00°
Positions (direct):
1 S 0.700 0.499 0.250
2 O 0.000 0.250 0.500
3 Ag 0.498 0.250 0.000
4 Ag 0.502 0.750 0.000
5 Pm 0.869 0.500 0.750
6 S 0.300 0.999 0.250
7 S 0.300 0.501 0.750
8 Pm 0.869 0.000 0.250
9 Pm 0.131 0.500 0.250
10 Ag 0.502 0.750 0.500
11 O 0.000 0.750 0.500
12 O 0.000 0.750 0.000
13 O 0.000 0.250 0.000
14 S 0.700 0.001 0.750
15 Pm 0.131 0.000 0.750
16 Ag 0.498 0.250 0.500

=====

Energies in meV per atom, measured from the most stable structure: i 0; ii 10.

=====

i | Density functional theory data (GGA-PBE) for crystalline NdGdB4 at its relaxed geometry.

Properties
- SG = Immm

a = 5.226 Å, b = 5.226 Å, c = 5.226 Å
α = 142.92°, β = 113.15°, γ = 78.99°
Positions (direct):
1 B 0.918 0.251 0.666
2 B 0.415 0.749 0.666
3 B 0.585 0.251 0.334
4 B 0.082 0.749 0.334
5 Nd 0.500 0.500 0.000
6 Gd 0.000 0.000 0.000

=====

ii | Density functional theory data (GGA-PBE) for crystalline NdGdB4 at its relaxed geometry.

Properties
- SG = P6/mmm

a = 3.321 Å, b = 3.321 Å, c = 8.065 Å
α = 90.00°, β = 90.00°, γ = 120.00°
Positions (direct):
1 B 0.667 0.333 0.242
2 B 0.333 0.667 0.242
3 B 0.667 0.333 0.758
4 B 0.333 0.667 0.758
5 Nd 0.000 0.000 0.500
6 Gd 0.000 0.000 0.000

=====

Energies in meV per atom, measured from the most stable structure: i 11; ii 0.

=====

i | Density functional theory data (GGA-PBE) for crystalline TcCl2 at its relaxed geometry.

Properties
- SG = Fd-3m

a = 7.374 Å, b = 7.374 Å, c = 7.374 Å
α = 60.00°, β = 60.00°, γ = 60.00°
Positions (direct):
1 Cl 0.375 0.375 0.375
2 Cl 0.375 0.375 0.875
3 Cl 0.875 0.375 0.375
4 Tc 0.250 0.250 0.250
5 Cl 0.375 0.875 0.375
6 Tc 0.500 0.500 0.500

=====

ii | Density functional theory data (GGA-PBE) for crystalline TcCl2 at its relaxed geometry.

Properties
- SG = Fd-3m

a = 5.728 Å, b = 5.728 Å, c = 5.728 Å
α = 60.00°, β = 60.00°, γ = 60.00°
Site moments in Bohr magnetons follow the coordinates.
Positions (direct):
1 Cl 0.625 0.125 0.625  -0.13
2 Tc 0.000 0.000 0.000  3.66
3 Cl 0.625 0.625 0.125  -0.33
4 Cl 0.125 0.625 0.625  0.03
5 Cl 0.625 0.625 0.625  -0.25
6 Tc 0.250 0.250 0.250  3.66

=====

Energies in meV per atom, measured from the most stable structure: i 0; ii 1352.

=====

i | Density functional theory data (GGA-PBE) for crystalline PrYPt at its relaxed geometry.

Properties
- SG = F-43m

a = 4.823 Å, b = 4.823 Å, c = 4.823 Å
α = 60.00°, β = 60.00°, γ = 60.00°
Positions (direct):
1 Y 0.500 0.500 0.500
2 Pt 0.250 0.250 0.250
3 Pr 0.750 0.750 0.750

=====

ii | Density functional theory data (GGA-PBE) for crystalline PrYPt at its relaxed geometry.

Properties
- SG = Pnma

a = 7.268 Å, b = 4.864 Å, c = 8.927 Å
α = 90.00°, β = 90.00°, γ = 90.00°
Positions (direct):
1 Y 0.643 0.250 0.081
2 Pr 0.488 0.750 0.327
3 Pt 0.750 0.250 0.409
4 Pr 0.512 0.250 0.673
5 Pt 0.250 0.750 0.591
6 Pt 0.750 0.750 0.909
7 Pt 0.250 0.250 0.091
8 Pr 0.012 0.250 0.827
9 Pr 0.988 0.750 0.173
10 Y 0.143 0.250 0.419
11 Y 0.357 0.750 0.919
12 Y 0.857 0.750 0.581

=====

Energies in meV per atom, measured from the most stable structure: i 765; ii 0.

=====

i | Density functional theory data (GGA-PBE) for crystalline Cu4Ag at its relaxed geometry.

Properties
- SG = P2/m

a = 4.548 Å, b = 2.684 Å, c = 10.789 Å
α = 90.00°, β = 97.12°, γ = 90.00°
Positions (direct):
1 Ag 0.899 0.500 0.204
2 Cu 0.000 0.000 0.000
3 Cu 0.399 0.000 0.200
4 Cu 0.310 0.500 0.401
5 Cu 0.601 0.000 0.800
6 Ag 0.101 0.500 0.796
7 Cu 0.500 0.500 0.000
8 Cu 0.796 0.000 0.410
9 Cu 0.690 0.500 0.599
10 Cu 0.204 0.000 0.590

=====

ii | Density functional theory data (GGA-PBE) for crystalline Cu4Ag at its relaxed geometry.

Properties
- SG = Cmcm

a = 9.476 Å, b = 9.476 Å, c = 3.746 Å
α = 90.00°, β = 90.00°, γ = 157.19°
Positions (direct):
1 Cu 0.546 0.454 0.750
2 Cu 0.851 0.149 0.250
3 Cu 0.454 0.546 0.250
4 Cu 0.954 0.046 0.750
5 Cu 0.046 0.954 0.250
6 Cu 0.250 0.750 0.250
7 Cu 0.750 0.250 0.750
8 Ag 0.648 0.352 0.250
9 Ag 0.352 0.648 0.750
10 Cu 0.149 0.851 0.750

=====

Energies in meV per atom, measured from the most stable structure: i 13; ii 0.